Entry 1:
The following is a DFT calculation (PBE) of Zn9Pd2Au after structural relaxation.

E_form: -263 meV per atom
V: 14.79 A^3/atom

Unit cell a=3.9597 b=3.9597 c=11.3158 alpha=90.00 beta=90.00 gamma=90.00
Space group P4/mmm (No. 123)
Symmetry-distinct sites (fractional):
Zn 0.0000 0.0000 0.0000
Zn 0.0000 0.0000 0.3352
Zn 0.0000 0.5000 0.1727
Zn 0.0000 0.5000 0.5000
Pd 0.5000 0.5000 0.3379
Au 0.5000 0.5000 0.0000

Entry 2:
The following is a DFT calculation (PBE) of RuSe2I after structural relaxation.

formation energy (no corrections): 938 meV per atom
V: 20.09 A^3/atom

Unit cell a=6.8502 b=6.8502 c=6.8502 alpha=90.00 beta=90.00 gamma=90.00
Space group Fm-3m (No. 225)
Symmetry-distinct sites (fractional):
Ru 0.0000 0.0000 0.0000
Se 0.2500 0.2500 0.2500
I 0.0000 0.0000 0.5000

Entry 3:
The following is a DFT calculation (PBE) of PmPr5Rh4 after structural relaxation.

E_form: -524 meV per atom
V: 28.42 A^3/atom

Unit cell a=18.7968 b=4.3225 c=7.6516 alpha=90.00 beta=113.87 gamma=90.00
Space group C2/m (No. 12)
Symmetry-distinct sites (fractional):
Pm 0.0000 0.0000 0.0000
Pr 0.0000 0.0000 0.5000
Pr 0.1643 0.5000 0.4086
Pr 0.1642 0.5000 0.9203
Rh 0.0000 0.5000 0.2526
Rh 0.1970 0.0000 0.1972

Entry 4:
The following is a DFT calculation (PBE) of Sc2Si4Ru3 after structural relaxation.

formation energy (no corrections): -817 meV per atom
V: 14.89 A^3/atom

Unit cell a=6.5471 b=6.4922 c=6.7342 alpha=90.00 beta=110.58 gamma=90.00
Space group P2_1/c (No. 14)
Symmetry-distinct sites (fractional):
Sc 0.1875 0.1698 0.0629
Si 0.1014 0.5594 0.8710
Si 0.4851 0.6440 0.6288
Ru 0.2337 0.6335 0.2544
Ru 0.5000 0.0000 0.5000